# 1
Material: Tb2SmHoEr6
Method: DFT, PBE
State: relaxed

Cell lengths 8.7176, 8.7176, 9.5015 Å; angles 93.94, 93.94, 117.94 degrees
Atoms (fractional coordinates):
Tb 0.1967 0.3020 0.0448
Tb 0.3020 0.1967 0.5448
Tb 0.6980 0.8033 0.4552
Tb 0.8033 0.6980 0.9552
Sm 0.0231 0.9769 0.2500
Sm 0.9769 0.0231 0.7500
Ho 0.4089 0.5911 0.7500
Ho 0.5911 0.4089 0.2500
Er 0.0201 0.5696 0.1840
Er 0.1248 0.7480 0.5573
Er 0.2520 0.8752 0.9427
Er 0.2914 0.5065 0.3812
Er 0.4304 0.9799 0.3160
Er 0.4935 0.7086 0.1188
Er 0.5065 0.2914 0.8812
Er 0.5696 0.0201 0.6840
Er 0.7086 0.4935 0.6188
Er 0.7480 0.1248 0.0573
Er 0.8752 0.2520 0.4427
Er 0.9799 0.4304 0.8160

formation enthalpy at 0 K = 0.121 eV per atom
total moment = 0.00 μB/f.u.



# 2
Material: Tb5SmHo2Er
Method: DFT, PBE
State: relaxed

Cell lengths 10.3431, 10.3431, 10.5907 Å; angles 90.00, 90.00, 148.66 degrees
Atoms (fractional coordinates):
Tb 0.0173 0.9827 0.5000
Tb 0.2816 0.7184 0.7825
Tb 0.3000 0.7000 0.1822
Tb 0.3922 0.6078 0.4992
Tb 0.4791 0.5209 0.2146
Tb 0.5209 0.4791 0.7146
Tb 0.6078 0.3922 0.9992
Tb 0.7000 0.3000 0.6822
Tb 0.7184 0.2816 0.2825
Tb 0.9827 0.0173 0.0000
Sm 0.2006 0.7994 0.4861
Sm 0.7994 0.2006 0.9861
Ho 0.1093 0.8907 0.2133
Ho 0.1142 0.8858 0.7935
Ho 0.8858 0.1142 0.2935
Ho 0.8907 0.1093 0.7133
Er 0.4128 0.5872 0.9321
Er 0.5872 0.4128 0.4321

formation enthalpy at 0 K = 0.153 eV per atom
total moment = 0.00 μB/f.u.



# 3
Material: Tb6Sm2HoEr
Method: DFT, PBE
State: relaxed

Cell lengths 8.7853, 8.7853, 9.6463 Å; angles 94.36, 94.36, 118.14 degrees
Atoms (fractional coordinates):
Tb 0.0193 0.5735 0.1870
Tb 0.1248 0.7492 0.5563
Tb 0.2508 0.8752 0.9437
Tb 0.2910 0.5022 0.3799
Tb 0.4265 0.9807 0.3130
Tb 0.4978 0.7090 0.1201
Tb 0.5022 0.2910 0.8799
Tb 0.5735 0.0193 0.6870
Tb 0.7090 0.4978 0.6201
Tb 0.7492 0.1248 0.0563
Tb 0.8752 0.2508 0.4437
Tb 0.9807 0.4265 0.8130
Sm 0.1955 0.2991 0.0426
Sm 0.2991 0.1955 0.5426
Sm 0.7009 0.8045 0.4574
Sm 0.8045 0.7009 0.9574
Ho 0.0202 0.9798 0.2500
Ho 0.9798 0.0202 0.7500
Er 0.4078 0.5922 0.7500
Er 0.5922 0.4078 0.2500

formation enthalpy at 0 K = 0.117 eV per atom
total moment = 0.00 μB/f.u.



# 4
Material: Tb3Sm6HoEr2
Method: DFT, PBE
State: relaxed

Cell lengths 6.2117, 6.2117, 11.8160 Å; angles 95.00, 95.00, 119.97 degrees
Atoms (fractional coordinates):
Tb 0.0000 0.0000 0.0000
Tb 0.3333 0.6667 0.0000
Tb 0.6667 0.3333 0.0000
Sm 0.0834 0.4169 0.2514
Sm 0.2497 0.2497 0.7486
Sm 0.4169 0.0834 0.2514
Sm 0.5831 0.9166 0.7486
Sm 0.7503 0.7503 0.2514
Sm 0.9166 0.5831 0.7486
Ho 0.5000 0.5000 0.5000
Er 0.1667 0.8333 0.5000
Er 0.8333 0.1667 0.5000

formation enthalpy at 0 K = 0.014 eV per atom
total moment = 0.00 μB/f.u.